# ThVW

Crystalline ThVW at its relaxed geometry (GGA-PBE, Alexandria).

Values from the calculation:
DFT formation energy = 0.44 eV per atom
Fermi-level density of states = 3.443 states/eV/f.u.
Space group = R32
Electronic total energy = -28.16 eV/f.u.
M_tot = 0.67 μB per formula unit

```
data_ThVW
_space_group_name_H-M_alt 'P 1'
_space_group_IT_number 1
_space_group_name_Hall 'P 1'
_cell_length_a 5.746
_cell_length_b 5.746
_cell_length_c 5.746
_cell_angle_alpha 86.61
_cell_angle_beta 86.61
_cell_angle_gamma 86.61
loop_
_atom_site_label
_atom_site_fract_x
_atom_site_fract_y
_atom_site_fract_z
Th1 0.000 0.716 0.284
Th2 0.284 0.000 0.716
Th3 0.716 0.284 0.000
V1 0.175 0.500 0.825
V2 0.500 0.825 0.175
V3 0.825 0.175 0.500
W1 0.242 0.242 0.242
W2 0.500 0.500 0.500
W3 0.758 0.758 0.758
```